First-principles (PBE) data for an optimized crystal structure of Nd3ErMg3, as listed in Alexandria.

The structure in extended XYZ format:
```
14
Lattice="7.8206 -0.1948 -0.0006 -0.1769 7.8210 -0.0006 0.0013 0.0013 7.1392" Properties=species:S:1:pos:R:3 pbc="T T T"
Nd 0.0011 0.0011 5.3762
Nd 3.9101 -0.0966 1.8067
Nd -0.0877 3.9103 1.8067
Nd 3.7349 7.7241 5.3313
Nd 7.7326 3.7172 5.3313
Nd 7.6438 7.6264 1.7618
Er 2.3758 2.3704 7.1377
Er 5.2691 5.2571 0.0003
Mg 2.1669 2.1620 3.5692
Mg 2.3319 5.3078 3.5690
Mg 5.3131 2.3197 3.5690
Mg 1.8823 5.7571 -0.0006
Mg 5.7614 1.8691 -0.0006
Mg 5.4780 5.4655 3.5688
```

Results
Mass density ... 5.12 g/cm3
Energy above the lowest structure with this stoichiometry ... 0 meV/atom
SG ... No. 65
DFT formation energy ... 0.067 eV/atom